First-principles (meta-GGA SCAN) data for a PBEsol-optimized structure of SrZrOs2, as listed in Alexandria.

Results
E_form in meV/atom: 324.5

Cell: 2.901 3.764 8.058 Å, 90.00 90.00 90.00°
Space group Pmm2 (No. 25)
Symmetry-distinct sites (fractional):
1 Sr 0.000 0.000 0.000 x1
2 Zr 0.500 0.500 0.377 x1
3 Os 0.000 0.000 0.588 x1
4 Os 0.500 0.500 0.707 x1

First-principles (meta-GGA SCAN) data for a PBEsol-optimized structure of SbTe2Br, as listed in Alexandria.

Results
E_form (uncorrected) in meV/atom: 221

Cell: 4.341 4.341 5.679 Å, 90.00 90.00 90.00°
Space group P4/mmm (No. 123)
Symmetry-distinct sites (fractional):
1 Sb 0.000 0.000 0.000 x1
2 Te 0.000 0.500 0.500 x2
3 Br 0.500 0.500 0.000 x1

First-principles (meta-GGA SCAN) data for a PBEsol-optimized structure of RePt2Br, as listed in Alexandria.

Results
E_form (uncorrected) in meV/atom: 1060

Cell: 6.371 6.371 6.371 Å, 90.00 90.00 90.00°
Space group Fm-3m (No. 225)
Symmetry-distinct sites (fractional):
1 Re 0.000 0.000 0.000 x4
2 Pt 0.250 0.250 0.250 x8
3 Br 0.000 0.000 0.500 x4

First-principles (meta-GGA SCAN) data for a PBEsol-optimized structure of MgBe3Ga, as listed in Alexandria.

Results
E_form in meV/atom: 1463.7

Cell: 4.485 4.485 4.485 Å, 90.00 90.00 90.00°
Space group Pm-3m (No. 221)
Symmetry-distinct sites (fractional):
1 Mg 0.000 0.000 0.000 x1
2 Be 0.000 0.000 0.500 x3
3 Ga 0.500 0.500 0.500 x1

First-principles (meta-GGA SCAN) data for a PBEsol-optimized structure of Y2AlHg, as listed in Alexandria.

Results
E_form in meV/atom: -595.0

Cell: 3.569 3.569 7.427 Å, 90.00 90.00 90.00°
Space group P4/mmm (No. 123)
Symmetry-distinct sites (fractional):
1 Y 0.000 0.000 0.245 x2
2 Al 0.500 0.500 0.000 x1
3 Hg 0.500 0.500 0.500 x1

First-principles (meta-GGA SCAN) data for a PBEsol-optimized structure of TaMo6, as listed in Alexandria.

Results
E_form in meV/atom: -64.3

Cell: 11.7462 11.7462 2.7366 Å, 90.00 90.00 120.00°
Space group R-3 (No. 148, hexagonal axes)
Symmetry-distinct sites (fractional):
1 Ta 0.0000 0.0000 0.0000 x3
2 Mo 0.0478 0.8081 0.6650 x18